1.
First-principles (meta-GGA SCAN) data for a PBEsol-optimized structure of ScAsP2, as listed in the Alexandria database.

The value obtained for the raw total energy is -14.14 eV/atom.

Structure (POSCAR):
```
ScAsP2
1.0
3.5852 0.0000 0.0000
0.0000 3.6515 0.0000
0.0000 0.0000 5.2310
Sc As P
1 1 2
direct
0.0000 0.0000 0.0000
0.0000 0.5000 0.5000
0.5000 0.0000 0.5000
0.5000 0.5000 0.0000
```

2.
First-principles (meta-GGA SCAN) data for a PBEsol-optimized structure of CdCuSi2O, as listed in the Alexandria database.

The value obtained for the raw formation energy is 270 meV per atom.

Structure (POSCAR):
```
CdCuSi2O
1.0
4.3311 0.0000 0.0000
0.0000 4.3311 0.0000
0.0000 0.0000 3.8830
Cd Cu Si O
1 1 2 1
direct
0.0000 0.0000 0.0000
0.5000 0.5000 0.0000
0.0000 0.5000 0.5000
0.5000 0.0000 0.5000
0.5000 0.5000 0.5000
```

no.,V (A^3/atom)
1,17.1
2,14.6